# 1
The following is a GGA-PBE calculation of a relaxed Ce5Ho3P8 crystal, from Alexandria.

Properties
symmetry: R-3m (166)
formation energy: -1539 meV per atom
M_tot: 2.7 μB/f.u.

abc: 8.096 8.096 8.096
angles: 60.07 60.07 60.07
Fractional coordinates of all 16 atoms:
Ce (0.000, 0.000, 0.000)
Ce (0.000, 0.500, 0.500)
Ce (0.500, 0.000, 0.500)
Ce (0.500, 0.500, 0.000)
Ce (0.500, 0.500, 0.500)
Ho (0.000, 0.000, 0.500)
Ho (0.000, 0.500, 0.000)
Ho (0.500, 0.000, 0.000)
P (0.246, 0.750, 0.750)
P (0.249, 0.249, 0.249)
P (0.250, 0.250, 0.754)
P (0.250, 0.754, 0.250)
P (0.750, 0.246, 0.750)
P (0.750, 0.750, 0.246)
P (0.751, 0.751, 0.751)
P (0.754, 0.250, 0.250)


# 2
The following is a GGA-PBE calculation of a relaxed Ni2PCl crystal, from Alexandria.

Properties
symmetry: C2/m (12)
M_tot: 0.0 μB/f.u.
ΔE_f (raw): 0.1983 eV per atom

abc: 6.474 6.523 2.841
angles: 90.00 90.50 90.00
Fractional coordinates of all 8 atoms:
Ni (0.250, 0.250, 0.000)
Ni (0.250, 0.750, 0.000)
Ni (0.750, 0.250, 0.000)
Ni (0.750, 0.750, 0.000)
P (0.000, 0.000, 0.000)
P (0.500, 0.500, 0.000)
Cl (0.000, 0.500, 0.000)
Cl (0.500, 0.000, 0.000)


# 3
The following is a GGA-PBE calculation of a relaxed AlReNO2 crystal, from Alexandria.

Properties
symmetry: P4/mmm (123)
M_tot: 0.0 μB/f.u.
ΔE_f (raw): -0.5092 eV per atom

abc: 3.887 3.887 3.979
angles: 90.00 90.00 90.00
Fractional coordinates of all 5 atoms:
Al (0.000, 0.000, 0.000)
Re (0.500, 0.500, 0.500)
N (0.500, 0.500, 0.000)
O (0.000, 0.500, 0.500)
O (0.500, 0.000, 0.500)


- Which of these has the highest M_tot?
  Ce5Ho3P8


- What is the M_tot in the third record?
  0.0 μB/f.u.


- Number 2 is which compound?
  Ni2PCl


- What is the M_tot in the third record?
  0.0 μB/f.u.